## CaTb2TlHg4 (PBE)

Data for a geometry-optimized CaTb2TlHg4 structure.

Lattice parameters (Å, degrees): 5.2258 5.2258 9.2168 73.53 73.53 60.00
Fractional coordinates of all 8 atoms:
1 Tb 0.2441 0.2441 0.2676
2 Tb 0.7559 0.7559 0.7324
3 Ca 0.0000 0.0000 0.0000
4 Hg 0.1202 0.1202 0.6395
5 Hg 0.6320 0.6320 0.1041
6 Hg 0.3680 0.3680 0.8959
7 Hg 0.8798 0.8798 0.3605
8 Tl 0.5000 0.5000 0.5000

## Properties
For the total magnetic moment, the calculation gives 0.000 μB/cell. As for the density of states at the Fermi level: 0.35 states/eV/atom. Its space group is No. 166. Its total energy is -2.269 eV/atom.